Entry 1:
CdMo2C | OQMD | PBE | optimized geometry; total DFT energy (no corrections) = -7.891 eV/atom; volume = 58.9 Å³/f.u.
1.0
3.082 0.000 0.000
-1.541 2.669 0.000
0.000 0.000 14.324
Cd Mo C
2 4 2
direct
0.333 0.667 0.250
0.667 0.333 0.750
0.333 0.667 0.580
0.333 0.667 0.920
0.667 0.333 0.080
0.667 0.333 0.420
0.000 0.000 0.000
0.000 0.000 0.500


Entry 2:
CdMo3C2 | OQMD | PBE | optimized geometry; total DFT energy (no corrections) = -8.573 eV/atom; volume = 79.7 Å³/f.u.
1.0
3.070 0.000 0.000
-1.535 2.659 0.000
0.000 0.000 19.535
Cd Mo C
2 6 4
direct
0.000 0.000 0.250
0.000 0.000 0.750
0.000 0.000 0.000
0.000 0.000 0.500
0.333 0.667 0.124
0.333 0.667 0.376
0.667 0.333 0.624
0.667 0.333 0.876
0.333 0.667 0.568
0.333 0.667 0.932
0.667 0.333 0.068
0.667 0.333 0.432